VASP calculation (PBE) on an optimized crystal structure of LiIn2Si.

Geometry as extended XYZ:
```
4
Lattice="-2.6711 -1.4405 -0.9395 1.3787 -2.8018 0.5845 -2.8569 0.2187 7.7874" Properties=species:S:1:pos:R:3 pbc="T T T"
Si -2.7057 -1.9636 5.4363
In -2.7535 0.2108 7.5056
In -1.4466 -2.0599 2.0043
Li -1.5288 0.1170 4.1674
```

Its total energy is -12.4 eV per cell. The value obtained for the formation energy without anion corrections is 0.0983 eV/atom. The space-group type is Cmm2.

---

VASP calculation (PBE) on an optimized crystal structure of LiInSi.

Geometry as extended XYZ:
```
6
Lattice="-2.2711 1.1958 -6.7719 -2.3779 -4.1941 0.6763 -2.2591 2.9356 0.2818" Properties=species:S:1:pos:R:3 pbc="T T T"
In -4.2008 1.7690 -4.5162
In -2.7752 2.4868 -0.2717
Li -2.3593 0.6597 -2.5340
Li -4.6827 -0.8389 -5.5817
Si -4.4186 -0.8713 -2.8140
Si -2.6772 -2.0032 -1.5777
```

Its total energy is -20.3 eV per cell. The value obtained for the formation energy without anion corrections is -0.0331 eV/atom. The space-group type is P-1.

---

VASP calculation (PBE) on an optimized crystal structure of Li3InSi.

Geometry as extended XYZ:
```
5
Lattice="4.8222 0.0000 0.0000 0.0000 4.8222 0.0000 0.0000 0.0000 4.8222" Properties=species:S:1:pos:R:3 pbc="T T T"
Li 2.4111 0.0000 0.0000
Li 0.0000 2.4111 0.0000
Li 0.0000 0.0000 2.4111
Si 0.0000 0.0000 0.0000
In 2.4111 2.4111 2.4111
```

Its total energy is -13.6 eV per cell. The value obtained for the formation energy without anion corrections is 0.0697 eV/atom. The value obtained for the energy above the most stable polymorph in this dataset is 0 meV/atom. The space-group type is Pm-3m.

---

VASP calculation (PBE) on an optimized crystal structure of LiInSi.

Geometry as extended XYZ:
```
12
Lattice="15.8070 0.0000 -0.1870 0.0000 7.0038 0.0000 -6.9959 0.0000 2.2297" Properties=species:S:1:pos:R:3 pbc="T T T"
Li 5.1076 5.2741 1.4231
Li 3.7035 1.7296 0.6196
Li 8.1090 1.7722 1.6410
Li 0.7021 5.2315 0.4018
In -1.8577 3.8380 1.2840
In 9.5437 6.6677 0.0757
In -0.7327 0.3361 1.9670
In 10.6688 3.1658 0.7587
Si 7.6367 4.4246 0.6241
Si -3.7648 6.0811 1.8324
Si 12.5758 0.9227 0.2103
Si 1.1744 2.5792 1.4186
```

Its total energy is -40.2 eV per cell. The value obtained for the formation energy without anion corrections is 0.0098 eV/atom. The space-group type is P2_1/c.

---

Q: Which of these has the highest formation energy without anion corrections?
A: LiIn2Si

---

Q: Number 2 is which compound?
A: LiInSi